# 1
# Ba2Zn2CdPd5

Ba2Zn2CdPd5 after structural relaxation (GGA-PBE, Alexandria).

Values from the calculation:
Energy relative to the elements   -431 meV/atom
DOS at the Fermi energy   0.37 states/eV per atom

Lattice parameters (Å, degrees): 10.596 10.596 3.704 90.00 90.00 90.00
Space group P4/mbm (No. 127)
One atom of each set of equivalent atoms:
1 Ba 0.180 0.320 0.000 (multiplicity 4)
2 Zn 0.119 0.619 0.000 (multiplicity 4)
3 Cd 0.000 0.000 0.000 (multiplicity 2)
4 Pd 0.000 0.500 0.500 (multiplicity 2)
5 Pd 0.061 0.789 0.500 (multiplicity 8)

# 2
# SrNdDy4

SrNdDy4 after structural relaxation (GGA-PBE, Alexandria).

Values from the calculation:
Energy relative to the elements   256 meV/atom
DOS at the Fermi energy   1.36 states/eV per atom

Lattice parameters (Å, degrees): 9.583 9.583 9.583 90.00 90.00 90.00
Space group F-43m (No. 216)
One atom of each set of equivalent atoms:
1 Sr 0.000 0.000 0.000 (multiplicity 4)
2 Nd 0.250 0.250 0.750 (multiplicity 4)
3 Dy 0.122 0.122 0.378 (multiplicity 16)

# 3
# LiYS3

LiYS3 after structural relaxation (GGA-PBE, Alexandria).

Values from the calculation:
Formation energy from raw total energies   -705 meV/atom
DOS at the Fermi energy   0.99 states/eV per atom
Offset from the most stable computed form   0.011 eV/atom

Lattice parameters (Å, degrees): 4.475 4.475 4.475 90.00 90.00 90.00
Space group Pm-3m (No. 221)
One atom of each set of equivalent atoms:
1 Li 0.000 0.000 0.000 (multiplicity 1)
2 Y 0.500 0.500 0.500 (multiplicity 1)
3 S 0.000 0.000 0.500 (multiplicity 3)

# 4
# ZnRePt2

ZnRePt2 after structural relaxation (GGA-PBE, Alexandria).

Values from the calculation:
Energy relative to the elements   -37 meV/atom
DOS at the Fermi energy   1.26 states/eV per atom

Lattice parameters (Å, degrees): 9.078 2.750 4.878 90.00 97.90 90.00
Space group C2/m (No. 12)
One atom of each set of equivalent atoms:
1 Zn 0.000 0.000 0.000 (multiplicity 2)
2 Re 0.000 0.500 0.500 (multiplicity 2)
3 Pt 0.247 0.000 0.745 (multiplicity 4)

# 5
# HfMnTl2Cu

HfMnTl2Cu after structural relaxation (GGA-PBE, Alexandria).

Values from the calculation:
Energy relative to the elements   802 meV/atom
DOS at the Fermi energy   0.66 states/eV per atom

Lattice parameters (Å, degrees): 4.917 4.917 4.696 90.00 90.00 90.00
Space group P4/mmm (No. 123)
One atom of each set of equivalent atoms:
1 Hf 0.000 0.000 0.000 (multiplicity 1)
2 Mn 0.500 0.500 0.000 (multiplicity 1)
3 Tl 0.000 0.500 0.500 (multiplicity 2)
4 Cu 0.500 0.500 0.500 (multiplicity 1)

# 6
# Pr4Te2Se3

Pr4Te2Se3 after structural relaxation (GGA-PBE, Alexandria).

Values from the calculation:
Formation energy from raw total energies   -1650 meV/atom
DOS at the Fermi energy   0.36 states/eV per atom

Lattice parameters (Å, degrees): 8.226 16.261 7.928 90.00 90.00 90.00
Space group Cmce (No. 64)
One atom of each set of equivalent atoms:
1 Pr 0.000 0.197 0.040 (multiplicity 8)
2 Pr 0.250 0.029 0.750 (multiplicity 8)
3 Te 0.000 0.106 0.424 (multiplicity 8)
4 Se 0.000 0.000 0.000 (multiplicity 4)
5 Se 0.250 0.211 0.750 (multiplicity 8)